(1)
This record from the Alexandria database describes crystalline FeC at its relaxed geometry. The functional is PBE.

The structure in POSCAR format:
```
FeC
1.0
5.2515 0.0000 0.0000
0.0000 3.6824 0.0000
0.0000 0.0000 7.2213
C Fe
8 8
Direct
0.8220 0.6036 0.9353 C
0.6780 0.3964 0.4353 C
0.2299 0.6506 0.2121 C
0.1780 0.1036 0.5647 C
0.2701 0.3494 0.7121 C
0.7701 0.1506 0.2879 C
0.7299 0.8494 0.7879 C
0.3220 0.8964 0.0647 C
0.6607 0.1228 0.0274 Fe
0.1607 0.3772 0.9726 Fe
0.1494 0.1378 0.2927 Fe
0.6494 0.3622 0.7073 Fe
0.3506 0.8622 0.7927 Fe
0.8393 0.8772 0.5274 Fe
0.8506 0.6378 0.2073 Fe
0.3393 0.6228 0.4726 Fe
```

Values from the calculation:
V (Å³ per atom): 8.73
Theoretical density (kg/m³): 6455
N(E_F) (states/eV per cell): 9.53
E_form (eV/atom): 0.4392

(2)
This record from the Alexandria database describes crystalline FeC3 at its relaxed geometry. The functional is PBE.

The structure in POSCAR format:
```
FeC3
1.0
1.8373 -6.5449 0.0000
1.8373 6.5449 0.0000
0.0000 0.0000 3.3212
Fe C
2 6
Direct
0.5571 0.4429 0.2500 Fe
0.4429 0.5571 0.7500 Fe
0.3447 0.6553 0.2500 C
0.6553 0.3447 0.7500 C
0.8932 0.7190 0.7500 C
0.7190 0.8932 0.2500 C
0.1068 0.2810 0.2500 C
0.2810 0.1068 0.7500 C
```

Values from the calculation:
ΔE to the lowest computed polymorph (meV per atom): 512.2
V (Å³ per atom): 9.98
Theoretical density (kg/m³): 3820
N(E_F) (states/eV per cell): 3.29
E_form (eV/atom): 1.0832

(3)
This record from the Alexandria database describes crystalline FeC2 at its relaxed geometry. The functional is PBE.

The structure in POSCAR format:
```
FeC2
1.0
-2.4206 -0.0849 -0.7110
1.6590 -1.6356 -0.9718
-0.8685 -2.8393 3.2961
Fe C
1 2
Direct
0.3333 0.6667 0.3086 Fe
0.3333 0.6667 0.8047 C
0.6667 0.3333 0.7657 C
```

Values from the calculation:
ΔE to the lowest computed polymorph (meV per atom): 31.7
V (Å³ per atom): 8.16
Theoretical density (kg/m³): 5418
N(E_F) (states/eV per cell): 1.50
E_form (eV/atom): 0.5499

(4)
This record from the Alexandria database describes crystalline Fe2C at its relaxed geometry. The functional is PBE.

The structure in POSCAR format:
```
Fe2C
1.0
4.4342 -0.1630 7.9566
4.1221 3.2825 7.4317
-5.8065 -1.5685 -6.8426
Fe C
4 2
Direct
0.4359 0.4359 0.0000 Fe
0.3141 0.8141 0.5000 Fe
0.5641 0.5641 0.0000 Fe
0.1859 0.6859 0.5000 Fe
0.7500 0.2500 0.5000 C
0.0000 0.0000 0.0000 C
```

Values from the calculation:
V (Å³ per atom): 9.12
Theoretical density (kg/m³): 7506
N(E_F) (states/eV per cell): 6.12
E_form (eV/atom): 0.6531

(5)
This record from the Alexandria database describes crystalline Fe2C at its relaxed geometry. The functional is PBE.

The structure in POSCAR format:
```
Fe2C
1.0
-2.7562 -0.6968 2.1110
2.2099 -1.2239 2.4814
0.3117 4.1967 1.7923
Fe C
4 2
Direct
0.0000 0.5000 0.5638 Fe
0.5000 0.5000 0.0000 Fe
0.0000 0.0000 0.0000 Fe
0.5000 0.0000 0.4362 Fe
0.0000 0.5000 0.1615 C
0.5000 0.0000 0.8385 C
```

Values from the calculation:
V (Å³ per atom): 9.56
Theoretical density (kg/m³): 7163
N(E_F) (states/eV per cell): 3.48
E_form (eV/atom): 0.2831

(6)
This record from the Alexandria database describes crystalline FeC at its relaxed geometry. The functional is PBE.

The structure in POSCAR format:
```
FeC
1.0
3.0062 0.0001 -0.0001
1.5020 2.6042 0.0000
-1.5017 -0.8677 2.4555
C Fe
1 1
Direct
0.8002 0.6653 0.3879 C
0.0502 0.9154 0.1378 Fe
```

Values from the calculation:
V (Å³ per atom): 9.61
Theoretical density (kg/m³): 5862
E_form (eV/atom): 0.4847

(7)
This record from the Alexandria database describes crystalline FeC3 at its relaxed geometry. The functional is PBE.

The structure in POSCAR format:
```
FeC3
1.0
4.3227 0.0000 -0.0104
0.0000 2.5305 0.0000
-3.9255 0.0000 5.4755
C Fe
6 2
Direct
0.7201 0.5000 0.8327 C
0.1568 0.0000 0.4618 C
0.5038 0.0000 0.7186 C
0.1568 0.5000 0.9618 C
0.7201 0.0000 0.3327 C
0.5038 0.5000 0.2186 C
0.0133 0.0000 0.7081 Fe
0.0133 0.5000 0.2081 Fe
```

Values from the calculation:
ΔE to the lowest computed polymorph (meV per atom): 139.8
V (Å³ per atom): 7.47
Theoretical density (kg/m³): 5103
N(E_F) (states/eV per cell): 3.19
E_form (eV/atom): 0.7109

(8)
This record from the Alexandria database describes crystalline Fe5C3 at its relaxed geometry. The functional is PBE.

The structure in POSCAR format:
```
Fe5C3
1.0
7.6212 0.0003 0.0004
3.8107 4.4892 0.0011
3.8107 -1.9812 4.0283
C Fe
6 10
Direct
0.7209 0.2787 0.2791 C
0.2209 0.7787 0.7791 C
0.2195 0.2801 0.5860 C
0.7195 0.0856 0.7805 C
0.9140 0.5856 0.2805 C
0.4140 0.7801 0.0860 C
0.7594 0.9584 0.1068 Fe
0.1750 0.1063 0.9588 Fe
0.6750 0.4584 0.6068 Fe
0.2594 0.6064 0.4588 Fe
0.5412 0.7401 0.3250 Fe
0.2769 0.2226 0.2231 Fe
0.0412 0.8247 0.2406 Fe
0.7769 0.7226 0.7230 Fe
0.8932 0.2402 0.8251 Fe
0.3931 0.3247 0.7406 Fe
```

Values from the calculation:
ΔE to the lowest computed polymorph (meV per atom): 2.6
V (Å³ per atom): 8.61
Theoretical density (kg/m³): 7597
N(E_F) (states/eV per cell): 14.91
E_form (eV/atom): 0.3556